Density functional theory data (PBE with a Hubbard U) for a geometry-optimized CaAc2MoO6 structure.

Lattice parameters (Å, degrees): 5.876 6.057 10.346 90.00 124.47 90.00
Space group P2_1/c (No. 14)
Symmetry-distinct sites (fractional):
Ca 0.000 0.000 0.000 [2 per cell]
Ac 0.258 0.052 0.748 [4 per cell]
Mo 0.500 0.000 0.500 [2 per cell]
O 0.159 0.041 0.261 [4 per cell]
O 0.261 0.683 0.048 [4 per cell]
O 0.376 0.217 0.056 [4 per cell]

Output
Spin magnetization   0.200 μB/atom
Uncorrected energy   -7.57 eV per atom
DOS at the Fermi energy   0.00 states/eV/cell